Entry 1:
A plane-wave DFT calculation with PBE-GGA was carried out for a relaxed structure of CsRbCe2Br8.

Computed properties:
* DOS(E_F): 16.1 states/eV/f.u.
* E: -48.00 eV per cell
* raw formation energy: -20.9 eV/f.u.

a b c (Å): 8.1195 8.1195 9.0663
angles (deg): 90.00 90.00 120.00
Space group P-3 (No. 147)
Asymmetric unit:
Cs (0.0000, 0.0000, 0.0000)
Rb (0.0000, 0.0000, 0.5000)
Ce (0.3333, 0.6667, 0.4180)
Br (0.0577, 0.3919, 0.6526)
Br (0.3333, 0.6667, 0.1084)

---

Entry 2:
A plane-wave DFT calculation with PBE-GGA was carried out for a relaxed structure of RbPIr2.

Computed properties:
* DOS(E_F): 1.6 states/eV/f.u.
* E: -48.74 eV per cell
* DFT formation energy: -68 meV/atom

a b c (Å): 4.432 6.657 7.027
angles (deg): 86.91 89.99 88.82
Space group P1 (No. 1)
Asymmetric unit:
Rb (0.000, 0.000, 0.000)
Rb (0.484, 0.820, 0.511)
P (0.491, 0.472, 0.978)
P (0.994, 0.358, 0.571)
Ir (0.495, 0.337, 0.679)
Ir (0.496, 0.337, 0.302)
Ir (0.990, 0.504, 0.870)
Ir (0.992, 0.441, 0.240)

---

Entry 3:
A plane-wave DFT calculation with PBE-GGA was carried out for a relaxed structure of BaMn2Si.

Computed properties:
* DOS(E_F): 4.4 states/eV/f.u.
* E: -96.71 eV per cell
* raw formation energy: 1.5 eV/f.u.

a b c (Å): 5.052 5.052 16.776
angles (deg): 90.00 90.00 90.00
Space group I4_1/amd (No. 141, origin choice 2)
Asymmetric unit:
Ba (0.000, 0.250, 0.375)
Mn (0.000, 0.000, 0.000)
Si (0.000, 0.250, 0.875)

---

Entry 4:
A plane-wave DFT calculation with PBE-GGA was carried out for a relaxed structure of Mg2TlCd.

Computed properties:
* DOS(E_F): 2.1 states/eV/f.u.
* E: -25.33 eV per cell
* DFT formation energy: 34 meV/atom

a b c (Å): 7.321 7.321 7.321
angles (deg): 90.00 90.00 90.00
Space group F-43m (No. 216)
Asymmetric unit:
Mg (0.000, 0.000, 0.000)
Mg (0.250, 0.250, 0.250)
Tl (0.250, 0.250, 0.750)
Cd (0.000, 0.000, 0.500)

---

Entry 5:
A plane-wave DFT calculation with PBE-GGA was carried out for a relaxed structure of CaTlNi2.

Computed properties:
* DOS(E_F): 2.3 states/eV/f.u.
* E: -60.29 eV per cell
* DFT formation energy: 215 meV/atom

a b c (Å): 6.641 6.641 6.641
angles (deg): 90.00 90.00 90.00
Space group F-43m (No. 216)
Asymmetric unit:
Ca (0.000, 0.000, 0.000)
Tl (0.250, 0.250, 0.250)
Ni (0.000, 0.000, 0.500)
Ni (0.250, 0.250, 0.750)

---

Entry 6:
A plane-wave DFT calculation with PBE-GGA was carried out for a relaxed structure of AcSbPt3.

Computed properties:
* DOS(E_F): 3.8 states/eV/f.u.
* E: -121.39 eV per cell
* raw formation energy: -4.0 eV/f.u.
* distance to the lowest polymorph of the same formula: 0 meV per atom

a b c (Å): 6.155 6.172 11.718
angles (deg): 90.00 90.00 90.00
Space group Fmm2 (No. 42)
Asymmetric unit:
Ac (0.000, 0.000, 0.000)
Sb (0.000, 0.000, 0.352)
Pt (0.000, 0.000, 0.574)
Pt (0.250, 0.250, 0.224)

---

Which value of DOS(E_F) does entry 4 give?
2.1 states/eV/f.u.

---

Which of these has the lowest E?
AcSbPt3

---

Among the records above, which one has the highest DOS(E_F)?
CsRbCe2Br8